Record 1
# KReHgCl6

A geometry-optimized KReHgCl6 structure (GGA-PBE, Alexandria).

DOS at the Fermi energy ... 10.703 states/eV per cell
Energy relative to the elements, uncorrected ... -0.839 eV per atom
Calculated volume ... 576.99 Å³ per cell

Cell lengths 7.6473, 7.6473, 11.3926 Å; angles 90.00, 90.00, 120.00 degrees
Closest atoms and distances in Å follow each position.
Positions (direct):
K: 0.3333 0.6667 0.2500  6 Cl 3.19
Cl: 0.4196 0.3398 0.3699  1 Re 2.35
Cl: 0.4196 0.0798 0.1301  1 Re 2.35
Cl: 0.5804 0.6602 0.6301  1 Re 2.35
Hg: 0.0000 0.0000 0.0000  6 Cl 3.30
Cl: 0.6602 0.5804 0.1301  1 Re 2.35
Cl: 0.0798 0.6602 0.8699  1 Re 2.35
Cl: 0.9202 0.5804 0.3699  1 Re 2.35
Cl: 0.0798 0.4196 0.6301  1 Re 2.35
Cl: 0.5804 0.9202 0.8699  1 Re 2.35
Re: 0.3333 0.6667 0.7500  6 Cl 2.35
Cl: 0.9202 0.3398 0.1301  1 Re 2.35
Cl: 0.6602 0.0798 0.3699  1 Re 2.35
Re: 0.6667 0.3333 0.2500  6 Cl 2.35
Hg: 0.0000 0.0000 0.5000  6 Cl 3.30
K: 0.6667 0.3333 0.7500  6 Cl 3.19
Cl: 0.3398 0.9202 0.6301  1 Re 2.35
Cl: 0.3398 0.4196 0.8699  1 Re 2.35

---

Record 2
# K2HgRhCl

A geometry-optimized K2HgRhCl structure (GGA-PBE, Alexandria).

DOS at the Fermi energy ... 2.546 states/eV per cell
Energy relative to the elements, uncorrected ... 0.410 eV per atom
Calculated volume ... 244.31 Å³ per cell

Cell lengths 6.5117, 5.7616, 6.5117 Å; angles 90.00, 90.00, 90.00 degrees
Closest atoms and distances in Å follow each position.
Positions (direct):
Hg: 0.0000 0.0000 0.0000  2 Cl 2.88
K: 0.5000 0.0000 0.0000  2 Hg 3.26
Cl: 0.0000 0.5000 0.0000  2 Hg 2.88
K: 0.0000 0.0000 0.5000  2 Hg 3.26
Rh: 0.5000 0.5000 0.5000  8 K 4.35, 4 Cl 4.60

---

Record 3
# KHg2RhCl8

A geometry-optimized KHg2RhCl8 structure (GGA-PBE, Alexandria).

DOS at the Fermi energy ... 0.000 states/eV per cell
Energy relative to the elements, uncorrected ... -0.829 eV per atom
Calculated volume ... 370.02 Å³ per cell

Cell lengths 6.5604, 7.3639, 8.7725 Å; angles 61.79, 93.37, 97.77 degrees
Closest atoms and distances in Å follow each position.
Positions (direct):
Cl: 0.2436 0.9005 0.8757  1 Rh 2.36
Cl: 0.1460 0.8113 0.2740  1 Rh 2.36, 1 Hg 2.63
Cl: 0.7707 0.7012 0.0531  1 Rh 2.35, 1 Hg 2.59
Cl: 0.7564 0.0995 0.1243  1 Rh 2.36
Hg: 0.4861 0.2862 0.7393  5 Cl 2.59-2.80
Cl: 0.2293 0.2988 0.9469  1 Rh 2.35, 1 Hg 2.59
Cl: 0.8540 0.1887 0.7260  1 Rh 2.36, 1 Hg 2.63
Cl: 0.4142 0.3061 0.4266  2 Hg 2.65-2.69
Cl: 0.5858 0.6939 0.5734  2 Hg 2.65-2.69
Hg: 0.5139 0.7138 0.2607  5 Cl 2.59-2.80
K: 0.0000 0.0000 0.5000  6 Cl 3.16-3.37
Rh: 0.0000 0.0000 0.0000  6 Cl 2.35-2.36

---

Question: Which of these has the lowest calculated volume?
Answer: K2HgRhCl

---

Repeat the third record exactly.
# KHg2RhCl8

A geometry-optimized KHg2RhCl8 structure (GGA-PBE, Alexandria).

DOS at the Fermi energy ... 0.000 states/eV per cell
Energy relative to the elements, uncorrected ... -0.829 eV per atom
Calculated volume ... 370.02 Å³ per cell

Cell lengths 6.5604, 7.3639, 8.7725 Å; angles 61.79, 93.37, 97.77 degrees
Closest atoms and distances in Å follow each position.
Positions (direct):
Cl: 0.2436 0.9005 0.8757  1 Rh 2.36
Cl: 0.1460 0.8113 0.2740  1 Rh 2.36, 1 Hg 2.63
Cl: 0.7707 0.7012 0.0531  1 Rh 2.35, 1 Hg 2.59
Cl: 0.7564 0.0995 0.1243  1 Rh 2.36
Hg: 0.4861 0.2862 0.7393  5 Cl 2.59-2.80
Cl: 0.2293 0.2988 0.9469  1 Rh 2.35, 1 Hg 2.59
Cl: 0.8540 0.1887 0.7260  1 Rh 2.36, 1 Hg 2.63
Cl: 0.4142 0.3061 0.4266  2 Hg 2.65-2.69
Cl: 0.5858 0.6939 0.5734  2 Hg 2.65-2.69
Hg: 0.5139 0.7138 0.2607  5 Cl 2.59-2.80
K: 0.0000 0.0000 0.5000  6 Cl 3.16-3.37
Rh: 0.0000 0.0000 0.0000  6 Cl 2.35-2.36

---

Question: The lowest DOS at the Fermi energy belongs to which entry?
Answer: KHg2RhCl8